Entry 1:
TlOsPt2, relaxed, DFT PBE-GGA; energy of formation from the pure elements = 0.39 eV per atom; raw total energy = -6.0341 eV/atom
1.0
2.835 0.000 0.000
0.000 4.622 0.000
0.000 0.000 5.209
Tl Os Pt
1 1 2
Direct
0.000 0.000 0.000
0.000 0.500 0.640
0.500 0.000 0.516
0.500 0.500 0.197

***

Entry 2:
Tl2OsPt, relaxed, DFT PBE-GGA; energy of formation from the pure elements = 0.74 eV per atom; raw total energy = -4.7619 eV/atom
1.0
9.043 0.000 0.000
0.000 3.253 0.000
-1.221 0.000 5.233
Tl Os Pt
4 2 2
Direct
0.249 0.000 0.246
0.251 0.500 0.754
0.749 0.500 0.246
0.751 0.000 0.754
0.000 0.500 0.000
0.500 0.000 0.000
0.000 0.000 0.500
0.500 0.500 0.500

***

Entry 3:
TlOsPt4, relaxed, DFT PBE-GGA; energy of formation from the pure elements = 0.59 eV per atom; raw total energy = -5.7005 eV/atom
1.0
0.000 3.763 3.763
3.763 0.000 3.763
3.763 3.763 0.000
Tl Os Pt
1 1 4
Direct
0.000 0.000 0.000
0.750 0.750 0.750
0.376 0.376 0.376
0.376 0.376 0.873
0.376 0.873 0.376
0.873 0.376 0.376

***

Entry 4:
TlOsPt2, relaxed, DFT PBE-GGA; energy of formation from the pure elements = 0.54 eV per atom; raw total energy = -5.8782 eV/atom
1.0
2.892 0.000 0.000
0.000 4.832 0.000
0.000 0.000 9.915
Tl Os Pt
2 2 4
Direct
0.000 0.000 0.000
0.500 0.500 0.500
0.000 0.000 0.500
0.500 0.500 0.000
0.000 0.500 0.233
0.000 0.500 0.767
0.500 0.000 0.267
0.500 0.000 0.733

***

Q: The highest energy of formation from the pure elements belongs to which entry?
A: Tl2OsPt

***

Q: Among the records above, which one has the lowest raw total energy?
A: number 1